# Co2Mo2Pb, optimized geometry, DFT GGA-PBE
# DOS at the Fermi energy (states/eV per cell): 7.4
# Energy of formation from the pure elements (eV per atom): 0.45
# Total moment (μB per cell): 2.3
# V (Å³ per cell): 154
# Total energy (Ha/atom): -0.27447
data_Co2Mo2Pb
_space_group_name_H-M_alt 'P 4/m b m'
_space_group_IT_number 127
_space_group_name_Hall '-P 4 2ab'
_cell_length_a 7.332
_cell_length_b 7.332
_cell_length_c 2.859
_cell_angle_alpha 90.00
_cell_angle_beta 90.00
_cell_angle_gamma 90.00
loop_
_atom_site_label
_atom_site_fract_x
_atom_site_fract_y
_atom_site_fract_z
Co1 0.122 0.378 0.000
Mo1 0.162 0.662 0.500
Pb1 0.000 0.000 0.000

# AcZrUS6, optimized geometry, DFT GGA-PBE
# DOS at the Fermi energy (states/eV per cell): 3.3
# Total moment (μB per cell): 2.0
# V (Å³ per cell): 499
# Formation energy from raw total energies (meV per atom): -1573.2
# Total energy (Ha/atom): -0.25671
data_AcZrUS6
_space_group_name_H-M_alt 'P -3 1 c'
_space_group_IT_number 163
_space_group_name_Hall '-P 3 2c'
_cell_length_a 6.7180
_cell_length_b 6.7180
_cell_length_c 12.7558
_cell_angle_alpha 90.00
_cell_angle_beta 90.00
_cell_angle_gamma 120.00
loop_
_atom_site_label
_atom_site_fract_x
_atom_site_fract_y
_atom_site_fract_z
Ac1 0.0000 0.0000 0.0000
Zr1 0.3333 0.6667 0.2500
U1 0.3333 0.6667 0.7500
S1 0.0043 0.3712 0.1337

# HfTi4Pb, optimized geometry, DFT GGA-PBE
# DOS at the Fermi energy (states/eV per cell): 38.9
# Energy of formation from the pure elements (eV per atom): 0.14
# Total moment (μB per cell): 9.2
# V (Å³ per cell): 463
# Total energy (Ha/atom): -0.27207
data_HfTi4Pb
_space_group_name_H-M_alt 'F -4 3 m'
_space_group_IT_number 216
_space_group_name_Hall 'F -4 2 3'
_cell_length_a 7.738
_cell_length_b 7.738
_cell_length_c 7.738
_cell_angle_alpha 90.00
_cell_angle_beta 90.00
_cell_angle_gamma 90.00
loop_
_atom_site_label
_atom_site_fract_x
_atom_site_fract_y
_atom_site_fract_z
Hf1 0.000 0.000 0.000
Ti1 0.128 0.128 0.628
Pb1 0.250 0.250 0.250

# Hf6NiN2, optimized geometry, DFT GGA-PBE
# DOS at the Fermi energy (states/eV per cell): 13.4
# Total moment (μB per cell): 0.0
# V (Å³ per cell): 310
# Formation energy from raw total energies (meV per atom): -719.5
# Total energy (Ha/atom): -0.36189
data_Hf6NiN2
_space_group_name_H-M_alt 'C 1 2/m 1'
_space_group_IT_number 12
_cell_length_a 10.785
_cell_length_b 4.381
_cell_length_c 7.456
_cell_angle_alpha 90.00
_cell_angle_beta 118.22
_cell_angle_gamma 90.00
loop_
_space_group_symop_operation_xyz
'x,y,z'
'-x,-y,-z'
'-x,y,-z'
'x,-y,z'
'x+1/2,y+1/2,z'
'-x+1/2,-y+1/2,-z'
'-x+1/2,y+1/2,-z'
'x+1/2,-y+1/2,z'
loop_
_atom_site_label
_atom_site_fract_x
_atom_site_fract_y
_atom_site_fract_z
Hf1 0.025 0.000 0.203
Hf2 0.160 0.500 0.563
Hf3 0.191 0.500 0.085
Ni1 0.000 0.000 0.500
N1 0.184 0.000 0.085

Q: Which formula does entry 1 have?
A: Co2Mo2Pb